# 1
DFT (PBEsol) results for a relaxed structure of Ba2ErCoCu2O7.

Cell lengths 3.8290, 3.8299, 11.5264 Å; angles 90.00, 90.00, 90.00 degrees
Closest atoms and distances in Å follow each position.
Positions (direct):
Ba 0.0000 0.0000 0.1879  10 O 2.74-2.92
Ba 0.0000 0.0000 0.8121  10 O 2.74-2.92
Er 0.0000 0.0000 0.5000  8 O 2.37
Co 0.5000 0.5000 0.0000  4 O 1.76-1.91
Cu 0.5000 0.5000 0.3672  4 O 1.92
Cu 0.5000 0.5000 0.6328  4 O 1.92
O 0.0000 0.5000 0.3785  2 Cu 1.92
O 0.0000 0.5000 0.6215  2 Cu 1.92
O 0.5000 0.0000 0.0000  2 Co 1.91
O 0.5000 0.0000 0.3794  2 Cu 1.92
O 0.5000 0.0000 0.6206  2 Cu 1.92
O 0.5000 0.5000 0.1531  1 Co 1.76
O 0.5000 0.5000 0.8469  1 Co 1.76

Properties
**Mass density**: 7.27 g/cm³
**E**: -0.4949 Ry/atom



# 2
DFT (PBEsol) results for a relaxed structure of ReMoPt2.

Cell lengths 4.8065, 4.8065, 4.7546 Å; angles 99.50, 99.50, 33.13 degrees
Closest atoms and distances in Å follow each position.
Positions (direct):
Re 0.0000 0.0000 0.0000  2 Re 2.74, 4 Mo 2.74, 6 Pt 2.75-2.77
Mo 0.5000 0.5000 0.5000  2 Mo 2.74, 4 Re 2.74, 6 Pt 2.76-2.78
Pt 0.2514 0.2514 0.7518  6 Pt 2.73-2.76, 3 Re 2.75-2.77, 3 Mo 2.76-2.78
Pt 0.7486 0.7486 0.2482  6 Pt 2.73-2.76, 3 Re 2.75-2.77, 3 Mo 2.76-2.78

Properties
**Mass density**: 18.88 g/cm³
**E**: -0.7226 Ry/atom
**Distance to the lowest polymorph of the same formula**: 71 meV/atom
**E_form**: -75.0 meV/atom



# 3
DFT (PBEsol) results for a relaxed structure of NbZn3Te.

Cell lengths 5.0041, 5.0041, 5.0041 Å; angles 90.00, 90.00, 90.00 degrees
Closest atoms and distances in Å follow each position.
Positions (direct):
Nb 0.0000 0.0000 0.0000  12 Zn 3.54
Zn 0.0000 0.5000 0.5000  2 Te 2.50
Zn 0.5000 0.0000 0.5000  2 Te 2.50
Zn 0.5000 0.5000 0.0000  2 Te 2.50
Te 0.5000 0.5000 0.5000  6 Zn 2.50

Properties
**Mass density**: 5.52 g/cm³
**E**: -0.1763 Ry/atom



# 4
DFT (PBEsol) results for a relaxed structure of ZnOsPt.

Cell lengths 4.0631, 4.0631, 4.0631 Å; angles 60.00, 60.00, 60.00 degrees
Closest atoms and distances in Å follow each position.
Positions (direct):
Zn 0.0000 0.0000 0.0000  4 Os 2.49, 4 Pt 2.49
Os 0.7500 0.7500 0.7500  4 Zn 2.49
Pt 0.2500 0.2500 0.2500  4 Zn 2.49

Properties
**Mass density**: 15.78 g/cm³
**E**: -0.4506 Ry/atom
**E_form**: 789.8 meV/atom



# 5
DFT (PBEsol) results for a relaxed structure of CrAu3Cl.

Cell lengths 4.8576, 4.8576, 4.8576 Å; angles 90.00, 90.00, 90.00 degrees
Closest atoms and distances in Å follow each position.
Positions (direct):
Cr 0.0000 0.0000 0.0000  6 Au 2.43
Au 0.0000 0.0000 0.5000  2 Cr 2.43
Au 0.0000 0.5000 0.0000  2 Cr 2.43
Au 0.5000 0.0000 0.0000  2 Cr 2.43
Cl 0.5000 0.5000 0.5000  12 Au 3.43

Properties
**Mass density**: 9.83 g/cm³
**E**: -0.2717 Ry/atom



# 6
DFT (PBEsol) results for a relaxed structure of Ti2Co12P7.

Cell lengths 8.7438, 8.7438, 3.4452 Å; angles 90.00, 90.00, 120.00 degrees
Closest atoms and distances in Å follow each position.
Positions (direct):
Ti 0.0000 0.0000 0.0000  6 P 2.68, 6 Co 2.79
Ti 0.3333 0.6667 0.5000  6 P 2.70, 9 Co 2.83-2.94
Co 0.0423 0.2694 0.5000  4 P 2.11-2.28
Co 0.1068 0.7194 0.0000  4 P 2.13-2.24
Co 0.2271 0.9577 0.5000  4 P 2.11-2.28
Co 0.2806 0.3874 0.0000  4 P 2.13-2.24
Co 0.4371 0.2011 0.0000  5 P 2.22-2.45
Co 0.5062 0.4517 0.5000  4 P 2.12-2.19
Co 0.5483 0.0546 0.5000  4 P 2.12-2.19
Co 0.6126 0.8932 0.0000  4 P 2.13-2.24
Co 0.7306 0.7729 0.5000  4 P 2.11-2.28
Co 0.7640 0.5629 0.0000  5 P 2.22-2.45
Co 0.7989 0.2360 0.0000  5 P 2.22-2.45
Co 0.9454 0.4938 0.5000  4 P 2.12-2.19
P 0.0772 0.4544 0.0000  7 Co 2.13-2.28
P 0.2535 0.2115 0.5000  5 Co 2.11-2.24
P 0.3772 0.9228 0.0000  7 Co 2.13-2.28
P 0.5456 0.6228 0.0000  7 Co 2.13-2.28
P 0.6667 0.3333 0.5000  3 Co 2.12
P 0.7885 0.0420 0.5000  5 Co 2.11-2.24
P 0.9580 0.7465 0.5000  5 Co 2.11-2.24

Properties
**Mass density**: 7.42 g/cm³
**E**: -0.5852 Ry/atom
**E_form**: -817.1 meV/atom



# 7
DFT (PBEsol) results for a relaxed structure of NaLiZnP2O7.

Cell lengths 7.2966, 7.2966, 6.2557 Å; angles 90.00, 90.00, 117.01 degrees
Closest atoms and distances in Å follow each position.
Positions (direct):
Na 0.2477 0.2477 0.0000  5 O 2.41-2.61
Na 0.7523 0.7523 0.5000  5 O 2.41-2.61
Li 0.2864 0.7136 0.7500  4 O 1.91-1.94
Li 0.7136 0.2864 0.2500  4 O 1.91-1.94
Zn 0.2835 0.7165 0.2500  4 O 1.95
Zn 0.7165 0.2835 0.7500  4 O 1.95
P 0.0794 0.3118 0.5056  4 O 1.51-1.64
P 0.3118 0.0794 0.4944  4 O 1.51-1.64
P 0.6882 0.9206 0.9944  4 O 1.51-1.64
P 0.9206 0.6882 0.0056  4 O 1.51-1.64
O 0.0946 0.0946 0.5000  2 P 1.64
O 0.1551 0.7634 0.9970  1 P 1.54
O 0.1767 0.4230 0.7097  1 P 1.51
O 0.1830 0.4230 0.2982  1 P 1.53
O 0.2366 0.8449 0.5030  1 P 1.54
O 0.4230 0.1767 0.2903  1 P 1.51
O 0.4230 0.1830 0.7018  1 P 1.53
O 0.5770 0.8170 0.2018  1 P 1.53
O 0.5770 0.8233 0.7903  1 P 1.51
O 0.7634 0.1551 0.0030  1 P 1.54
O 0.8170 0.5770 0.7982  1 P 1.53
O 0.8233 0.5770 0.2097  1 P 1.51
O 0.8449 0.2366 0.4970  1 P 1.54
O 0.9054 0.9054 0.0000  2 P 1.64

Properties
**Mass density**: 3.01 g/cm³
**E**: -0.4874 Ry/atom



# 8
DFT (PBEsol) results for a relaxed structure of CaGaSb2Mo.

Cell lengths 5.1568, 5.1568, 5.4791 Å; angles 90.00, 90.00, 90.00 degrees
Closest atoms and distances in Å follow each position.
Positions (direct):
Ca 0.0000 0.0000 0.0000  2 Mo 2.74
Ga 0.5000 0.5000 0.0000  4 Ca 3.65, 8 Sb 3.76
Sb 0.0000 0.5000 0.5000  2 Mo 2.58
Sb 0.5000 0.0000 0.5000  2 Mo 2.58
Mo 0.0000 0.0000 0.5000  4 Sb 2.58, 2 Ca 2.74

Properties
**Mass density**: 5.12 g/cm³
**E**: -0.3580 Ry/atom